(1)
The following is a DFT calculation (PBE) of a geometry-optimized Te4IrOs structure.

The structure in extended XYZ format:
```
6
Lattice="0.000 4.229 4.229 4.229 0.000 4.229 4.229 4.229 0.000" Properties=species:S:1:pos:R:3 pbc="T T T"
Te 1.056 1.056 1.056
Te 3.173 3.173 1.056
Te 3.173 1.056 3.173
Te 1.056 3.173 3.173
Ir 6.343 6.343 6.343
Os 4.229 4.229 4.229
```

Output
D(E_F) in states/eV/f.u.: 7.131
Space group: F-43m (216)
Spin magnetization in μB/cell: 3.39
Energy relative to the elements, uncorrected in eV per atom: 1.9029
ρ in kg/m³: 9802
Total DFT energy (no corrections) in Ha/atom: -0.130

(2)
The following is a DFT calculation (PBE) of a geometry-optimized TeIr2Os structure.

The structure in extended XYZ format:
```
4
Lattice="1.450 0.837 9.156 -1.450 0.837 9.156 0.000 -1.674 9.156" Properties=species:S:1:pos:R:3 pbc="T T T"
Te 0.000 0.000 0.000
Ir 0.000 0.000 6.688
Ir 0.000 0.000 20.781
Os 0.000 0.000 13.735
```

Output
D(E_F) in states/eV/f.u.: 3.067
Space group: R-3m (166)
Spin magnetization in μB/cell: 0.00
Energy relative to the elements, uncorrected in eV per atom: 0.5794
ρ in kg/m³: 17495
Total DFT energy (no corrections) in Ha/atom: -0.274

(3)
The following is a DFT calculation (PBE) of a geometry-optimized Te2IrOs structure.

The structure in extended XYZ format:
```
4
Lattice="1.592 0.919 9.896 -1.592 0.919 9.896 0.000 -1.838 9.896" Properties=species:S:1:pos:R:3 pbc="T T T"
Te 0.000 0.000 0.000
Te 0.000 0.000 6.032
Ir 0.000 0.000 21.802
Os 0.000 0.000 13.986
```

Output
D(E_F) in states/eV/f.u.: 5.340
Space group: R3m (160)
Spin magnetization in μB/cell: 0.00
Offset from the most stable computed form in meV per atom: 432
Energy relative to the elements, uncorrected in eV per atom: 0.5741
ρ in kg/m³: 12186
Total DFT energy (no corrections) in Ha/atom: -0.221

(4)
The following is a DFT calculation (PBE) of a geometry-optimized TeIr2Os structure.

The structure in extended XYZ format:
```
4
Lattice="1.475 0.852 8.739 -1.475 0.852 8.739 0.000 -1.703 8.739" Properties=species:S:1:pos:R:3 pbc="T T T"
Te 0.000 0.000 0.000
Ir 0.000 0.000 6.506
Ir 0.000 0.000 13.045
Os 0.000 0.000 19.722
```

Output
D(E_F) in states/eV/f.u.: 2.823
Space group: R3m (160)
Spin magnetization in μB/cell: 0.00
Energy relative to the elements, uncorrected in eV per atom: 0.6695
ρ in kg/m³: 17708
Total DFT energy (no corrections) in Ha/atom: -0.270